Material: Y6GaNi2
Method: DFT, PBE-GGA
State: relaxed

Geometry as POSCAR:
```
Y6GaNi2
1.0
-4.6625 4.8297 4.9937
4.6625 -4.8297 4.9937
4.6625 4.8297 -4.9937
Y Ga Ni
12 2 4
Cartesian
4.6625 2.9390 -2.6358 Y
2.6417 1.7407 0.0000 Y
6.6833 1.7407 0.0000 Y
1.8174 4.8297 -1.7325 Y
2.8451 0.0000 3.2612 Y
0.0000 1.8907 2.3580 Y
4.6625 2.9390 2.6358 Y
1.8174 4.8297 1.7325 Y
2.8451 0.0000 6.7262 Y
-2.0208 3.0890 4.9937 Y
2.0208 3.0890 4.9937 Y
0.0000 1.8907 7.6295 Y
0.0000 0.0000 0.0000 Ga
0.0000 0.0000 4.9937 Ga
4.6625 0.0000 1.2070 Ni
0.0000 3.3794 0.0000 Ni
0.0000 6.2800 0.0000 Ni
0.0000 4.8297 3.7867 Ni
```

Results
The calculation puts the electronic total energy at -112.51 eV/cell. Its space-group type is No. 71.

=====

Material: YGaNi
Method: DFT, PBE-GGA
State: relaxed

Geometry as POSCAR:
```
YGaNi
1.0
0.0000 3.2422 3.2422
3.2422 0.0000 3.2422
3.2422 3.2422 0.0000
Y Ga Ni
1 1 1
Cartesian
0.0000 0.0000 0.0000 Y
4.8633 4.8633 4.8633 Ga
1.6211 1.6211 1.6211 Ni
```

Results
The calculation puts the electronic total energy at -14.40 eV/cell. Its space-group type is No. 216.

=====

Material: YGaNi
Method: DFT, PBE-GGA
State: relaxed

Geometry as POSCAR:
```
YGaNi
1.0
6.8993 0.0000 0.0000
0.0000 4.3239 0.0000
0.0000 0.0000 7.2795
Y Ga Ni
4 4 4
Cartesian
0.1243 1.0810 1.4585 Y
3.3254 3.2429 5.0983 Y
3.5739 1.0810 2.1813 Y
6.7751 3.2429 5.8210 Y
1.2545 1.0810 4.2330 Ga
2.1951 3.2429 0.5933 Ga
4.7042 1.0810 6.6862 Ga
5.6448 3.2429 3.0465 Ga
1.3986 3.2429 2.9649 Ni
2.0511 1.0810 6.6047 Ni
4.8483 3.2429 0.6749 Ni
5.5008 1.0810 4.3146 Ni
```

Results
The calculation puts the electronic total energy at -68.04 eV/cell. Its space-group type is No. 62.

=====

Material: YZrGa2Ni4
Method: DFT, PBE-GGA
State: relaxed

Geometry as POSCAR:
```
YZrGa2Ni4
1.0
4.1245 0.0000 0.0000
-2.0623 3.5719 0.0000
0.0000 0.0000 8.4781
Y Zr Ga Ni
1 1 2 4
Cartesian
0.0000 0.0000 0.0000 Y
2.0623 1.1906 4.2391 Zr
0.0000 2.3813 2.2063 Ga
0.0000 2.3813 6.2718 Ga
0.0000 0.0000 2.9081 Ni
0.0000 0.0000 5.5700 Ni
2.0623 1.1906 1.5976 Ni
2.0623 1.1906 6.8805 Ni
```

Results
The calculation puts the electronic total energy at -47.87 eV/cell. Its space-group type is No. 187.

=====

> Which of these has the lowest electronic total energy?

Y6GaNi2